Entry 1:
Tc2As2Se: optimized geometry, PBE.

abc: 7.282 7.282 3.062
angles: 90.00 90.00 90.00
Element x y z (fractional)
Se (0.500, 0.500, 0.000)
Se (0.000, 0.000, 0.000)
As (0.642, 0.858, 0.500)
As (0.142, 0.642, 0.500)
As (0.358, 0.142, 0.500)
As (0.858, 0.358, 0.500)
Tc (0.647, 0.147, 0.000)
Tc (0.353, 0.853, 0.000)
Tc (0.147, 0.353, 0.000)
Tc (0.853, 0.647, 0.000)

Results
Its space group is No. 127. The value obtained for the calculated density is 8.69 g/cm3. For the formation energy without anion corrections, the calculation gives 0.066 eV/atom.

---

Entry 2:
TcAsSe2: optimized geometry, PBE.

abc: 3.174 4.662 4.662
angles: 90.00 90.00 90.00
Element x y z (fractional)
As (0.500, 0.000, 0.500)
Se (0.000, 0.000, 0.000)
Se (0.000, 0.500, 0.500)
Tc (0.500, 0.500, 0.000)

Results
Its space group is No. 123. The value obtained for the calculated density is 7.97 g/cm3. For the formation energy without anion corrections, the calculation gives 0.478 eV/atom. The relative energy among the computed polymorphs is 0.540 eV per atom.

---

Entry 3:
Th8Tc3AsSe4: optimized geometry, PBE.

abc: 8.344 8.692 8.344
angles: 118.69 120.00 90.00
Element x y z (fractional)
Se (0.000, 0.000, 0.000)
Se (0.000, 0.000, 0.500)
Se (0.500, 0.000, 0.500)
Se (0.500, 0.000, 0.000)
Th (0.248, 0.720, 0.972)
Th (0.752, 0.280, 0.504)
Th (0.752, 0.280, 0.028)
Th (0.724, 0.720, 0.972)
Th (0.740, 0.720, 0.480)
Th (0.260, 0.280, 0.520)
Th (0.276, 0.280, 0.028)
Th (0.248, 0.720, 0.496)
Tc (0.000, 0.500, 0.500)
Tc (0.500, 0.500, 0.000)
Tc (0.500, 0.500, 0.500)
As (0.000, 0.500, 0.000)

Results
Its space group is No. 166. The value obtained for the calculated density is 9.67 g/cm3. For the formation energy without anion corrections, the calculation gives -0.947 eV/atom.

---

Entry 4:
Th4TcAs2Se: optimized geometry, PBE.

abc: 4.191 7.384 7.367
angles: 108.91 90.00 90.00
Element x y z (fractional)
Tc (0.500, 0.500, 0.000)
Th (0.000, 0.270, 0.766)
Th (0.500, 0.737, 0.755)
Th (0.000, 0.730, 0.234)
Th (0.500, 0.263, 0.245)
Se (0.000, 0.000, 0.000)
As (0.500, 0.000, 0.500)
As (0.000, 0.500, 0.500)

Results
Its space group is No. 10. The value obtained for the calculated density is 9.66 g/cm3. For the formation energy without anion corrections, the calculation gives -1.051 eV/atom.

---

Entry 5:
TiTcAs2Se: optimized geometry, PBE.

abc: 4.886 4.886 4.831
angles: 90.00 90.00 90.00
Site moments in Bohr magnetons follow the coordinates.
Element x y z (fractional)
As (0.500, 0.000, 0.000)  -0.14
As (0.000, 0.500, 0.000)  -0.14
Ti (0.000, 0.000, 0.000)  0.17
Tc (0.500, 0.500, 0.500)  3.46
Se (0.000, 0.000, 0.500)  -0.08

Results
Its space group is No. 123. The value obtained for the calculated density is 5.39 g/cm3. For the formation energy without anion corrections, the calculation gives 0.630 eV/atom. The relative energy among the computed polymorphs is 0.036 eV per atom.

---

Entry 6:
TiTcAs2Se: optimized geometry, PBE.

abc: 4.652 4.652 5.292
angles: 90.00 90.00 90.00
Site moments in Bohr magnetons follow the coordinates.
Element x y z (fractional)
As (0.000, 0.500, 0.000)  0.00
As (0.500, 0.000, 0.000)  0.00
Ti (0.500, 0.500, 0.500)  0.00
Tc (0.000, 0.000, 0.000)  0.14
Se (0.000, 0.000, 0.500)  0.01

Results
Its space group is No. 123. The value obtained for the calculated density is 5.43 g/cm3. For the formation energy without anion corrections, the calculation gives 0.594 eV/atom. The relative energy among the computed polymorphs is 0.000 eV per atom.

---

Entry 7:
TlTcAsSe2: optimized geometry, PBE.

abc: 5.077 5.077 4.777
angles: 90.00 90.00 90.00
Site moments in Bohr magnetons follow the coordinates.
Element x y z (fractional)
Tl (0.500, 0.500, 0.500)  0.00
As (0.000, 0.000, 0.500)  -0.02
Se (0.000, 0.500, 0.000)  0.02
Se (0.500, 0.000, 0.000)  0.02
Tc (0.000, 0.000, 0.000)  0.27

Results
Its space group is No. 123. The value obtained for the calculated density is 7.22 g/cm3. For the formation energy without anion corrections, the calculation gives 0.181 eV/atom. The relative energy among the computed polymorphs is 0.000 eV per atom.

---

Entry 8:
VTcAsSe2: optimized geometry, PBE.

abc: 4.766 4.766 4.836
angles: 90.00 90.00 90.00
Site moments in Bohr magnetons follow the coordinates.
Element x y z (fractional)
Se (0.500, 0.000, 0.000)  -0.06
Se (0.000, 0.500, 0.000)  -0.06
As (0.000, 0.000, 0.500)  -0.17
V (0.000, 0.000, 0.000)  0.90
Tc (0.500, 0.500, 0.500)  3.49

Results
Its space group is No. 123. The value obtained for the calculated density is 5.77 g/cm3. For the formation energy without anion corrections, the calculation gives 0.701 eV/atom. The relative energy among the computed polymorphs is 0.000 eV per atom.

---

Entry 9:
VTcAsSe2: optimized geometry, PBE.

abc: 4.956 4.956 4.652
angles: 90.00 90.00 90.00
Site moments in Bohr magnetons follow the coordinates.
Element x y z (fractional)
As (0.000, 0.000, 0.500)  -0.02
V (0.500, 0.500, 0.500)  -0.27
Tc (0.000, 0.000, 0.000)  0.84
Se (0.000, 0.500, 0.000)  0.06
Se (0.500, 0.000, 0.000)  0.06

Results
Its space group is No. 123. The value obtained for the calculated density is 5.55 g/cm3. For the formation energy without anion corrections, the calculation gives 0.904 eV/atom. The relative energy among the computed polymorphs is 0.203 eV per atom.

---

Entry 10:
TcAsWSe2: optimized geometry, PBE.

abc: 4.880 4.880 5.010
angles: 90.00 90.00 90.00
Site moments in Bohr magnetons follow the coordinates.
Element x y z (fractional)
Se (0.500, 0.000, 0.000)  0.00
Se (0.000, 0.500, 0.000)  0.00
As (0.000, 0.000, 0.500)  -0.11
Tc (0.500, 0.500, 0.500)  3.67
W (0.000, 0.000, 0.000)  0.14

Results
Its space group is No. 123. The value obtained for the calculated density is 7.16 g/cm3. For the formation energy without anion corrections, the calculation gives 1.061 eV/atom. The relative energy among the computed polymorphs is 0.000 eV per atom.

---

Entry 11:
TcAs2WSe: optimized geometry, PBE.

abc: 4.660 4.660 5.151
angles: 90.00 90.00 90.00
Site moments in Bohr magnetons follow the coordinates.
Element x y z (fractional)
As (0.000, 0.500, 0.000)  -0.10
As (0.500, 0.000, 0.000)  -0.10
Tc (0.000, 0.000, 0.000)  0.21
Se (0.000, 0.000, 0.500)  -0.17
W (0.500, 0.500, 0.500)  2.83

Results
Its space group is No. 123. The value obtained for the calculated density is 7.58 g/cm3. For the formation energy without anion corrections, the calculation gives 1.283 eV/atom. The relative energy among the computed polymorphs is 0.154 eV per atom.

---

Entry 12:
TcAsWSe2: optimized geometry, PBE.

abc: 4.792 4.792 4.701
angles: 90.00 90.00 90.00
Site moments in Bohr magnetons follow the coordinates.
Element x y z (fractional)
As (0.000, 0.000, 0.500)  -0.04
Tc (0.000, 0.000, 0.000)  0.27
Se (0.000, 0.500, 0.000)  0.02
Se (0.500, 0.000, 0.000)  0.02
W (0.500, 0.500, 0.500)  0.01

Results
Its space group is No. 123. The value obtained for the calculated density is 7.92 g/cm3. For the formation energy without anion corrections, the calculation gives 1.419 eV/atom. The relative energy among the computed polymorphs is 0.358 eV per atom.

---

Entry 13:
TcAs2WSe: optimized geometry, PBE.

abc: 4.926 4.926 4.835
angles: 90.00 90.00 90.00
Site moments in Bohr magnetons follow the coordinates.
Element x y z (fractional)
W (0.000, 0.000, 0.000)  0.15
Tc (0.500, 0.500, 0.500)  3.41
As (0.000, 0.500, 0.000)  -0.12
As (0.500, 0.000, 0.000)  -0.12
Se (0.000, 0.000, 0.500)  -0.07

Results
Its space group is No. 123. The value obtained for the calculated density is 7.23 g/cm3. For the formation energy without anion corrections, the calculation gives 1.129 eV/atom. The relative energy among the computed polymorphs is 0.000 eV per atom.

---

Entry 14:
YTcAs2Se: optimized geometry, PBE.

abc: 4.668 4.668 5.472
angles: 90.00 90.00 90.00
Element x y z (fractional)
As (0.500, 0.000, 0.000)
As (0.000, 0.500, 0.000)
Y (0.500, 0.500, 0.500)
Se (0.000, 0.000, 0.500)
Tc (0.000, 0.000, 0.000)

Results
Its space group is No. 123. The value obtained for the calculated density is 5.79 g/cm3. For the formation energy without anion corrections, the calculation gives -0.158 eV/atom. The relative energy among the computed polymorphs is 0.000 eV per atom.